# 1
First-principles (GGA-PBE) data for AgH2Cl after structural relaxation, as listed in the Alexandria database.

- E above lowest polymorph: 934.0 meV per atom
- ρ: 4.801 g/cm3
- DFT total energy: -1.911 eV per atom

CIF file:
```
data_AgH2Cl
_chemical_formula_sum 'Ag4 H8 Cl4'
_cell_length_a 5.859
_cell_length_b 5.859
_cell_length_c 5.859
_cell_angle_alpha 90.00
_cell_angle_beta 90.00
_cell_angle_gamma 90.00
_space_group_name_H-M_alt 'F m -3 m'
_space_group_IT_number 225
_space_group_name_Hall '-F 4 2 3'
loop_
_atom_site_label
_atom_site_fract_x
_atom_site_fract_y
_atom_site_fract_z
Ag1 0.000 0.000 0.000
H1 0.250 0.250 0.250
Cl1 0.000 0.000 0.500
```

---

# 2
First-principles (GGA-PBE) data for Ag2HCl6 after structural relaxation, as listed in the Alexandria database.

- E above lowest polymorph: 23.7 meV per atom
- ρ: 2.473 g/cm3
- DFT total energy: -2.510 eV per atom

CIF file:
```
data_Ag2HCl6
_chemical_formula_sum 'Ag4 H2 Cl12'
_cell_length_a 7.245
_cell_length_b 9.094
_cell_length_c 9.104
_cell_angle_alpha 105.05
_cell_angle_beta 93.23
_cell_angle_gamma 93.21
_space_group_name_H-M_alt 'P -1'
_space_group_IT_number 2
_space_group_name_Hall '-P 1'
loop_
_atom_site_label
_atom_site_fract_x
_atom_site_fract_y
_atom_site_fract_z
Ag1 0.082 0.026 0.215
Ag2 0.418 0.785 0.974
H1 0.250 0.739 0.261
Cl1 0.017 0.573 0.605
Cl2 0.069 0.803 0.907
Cl3 0.133 0.852 0.372
Cl4 0.367 0.628 0.148
Cl5 0.431 0.093 0.197
Cl6 0.484 0.395 0.427
```

---

# 3
First-principles (GGA-PBE) data for Ag4H3Cl4 after structural relaxation, as listed in the Alexandria database.

- ρ: 4.652 g/cm3
- DFT total energy: -2.711 eV per atom

CIF file:
```
data_Ag4H3Cl4
_chemical_formula_sum 'Ag4 H3 Cl4'
_cell_length_a 4.433
_cell_length_b 10.921
_cell_length_c 4.434
_cell_angle_alpha 90.00
_cell_angle_beta 106.62
_cell_angle_gamma 90.00
_space_group_name_H-M_alt 'P 1 m 1'
_space_group_IT_number 6
_space_group_name_Hall 'P -2y'
loop_
_atom_site_label
_atom_site_fract_x
_atom_site_fract_y
_atom_site_fract_z
Ag1 0.000 0.000 0.000
Ag2 0.230 0.500 0.773
Ag3 0.541 0.243 0.460
H1 0.506 0.408 0.494
H2 0.512 0.500 0.489
Cl1 0.147 0.225 0.854
Cl2 0.628 0.000 0.372
Cl3 0.875 0.500 0.126
```

---

# 4
First-principles (GGA-PBE) data for AgHCl after structural relaxation, as listed in the Alexandria database.

- E above lowest polymorph: 0.0 meV per atom
- ρ: 3.609 g/cm3
- DFT total energy: -2.964 eV per atom

CIF file:
```
data_AgHCl
_chemical_formula_sum 'Ag4 H4 Cl4'
_cell_length_a 7.643
_cell_length_b 4.418
_cell_length_c 7.879
_cell_angle_alpha 90.00
_cell_angle_beta 93.13
_cell_angle_gamma 90.00
_space_group_name_H-M_alt 'C 1 2/m 1'
_space_group_IT_number 12
_space_group_name_Hall '-C 2y'
loop_
_atom_site_label
_atom_site_fract_x
_atom_site_fract_y
_atom_site_fract_z
Ag1 0.164 0.000 0.333
H1 0.046 0.500 0.021
Cl1 0.172 0.000 0.705
```

---

# 5
First-principles (GGA-PBE) data for Ag2HCl3 after structural relaxation, as listed in the Alexandria database.

- ρ: 3.485 g/cm3
- DFT total energy: -2.869 eV per atom

CIF file:
```
data_Ag2HCl3
_chemical_formula_sum 'Ag8 H4 Cl12'
_cell_length_a 13.555
_cell_length_b 4.500
_cell_length_c 10.560
_cell_angle_alpha 90.00
_cell_angle_beta 107.04
_cell_angle_gamma 90.00
_space_group_name_H-M_alt 'C 1 2/m 1'
_space_group_IT_number 12
_space_group_name_Hall '-C 2y'
loop_
_atom_site_label
_atom_site_fract_x
_atom_site_fract_y
_atom_site_fract_z
Ag1 0.032 0.000 0.189
Ag2 0.158 0.500 0.855
H1 0.199 0.500 0.340
Cl1 0.024 0.500 0.304
Cl2 0.149 0.000 0.032
Cl3 0.201 0.000 0.637
```

---

# 6
First-principles (GGA-PBE) data for AgH2Cl4 after structural relaxation, as listed in the Alexandria database.

- E above lowest polymorph: 0.0 meV per atom
- ρ: 2.242 g/cm3
- DFT total energy: -2.844 eV per atom

CIF file:
```
data_AgH2Cl4
_chemical_formula_sum 'Ag1 H2 Cl4'
_cell_length_a 3.686
_cell_length_b 6.924
_cell_length_c 8.165
_cell_angle_alpha 65.29
_cell_angle_beta 80.06
_cell_angle_gamma 84.42
_space_group_name_H-M_alt 'P -1'
_space_group_IT_number 2
_space_group_name_Hall '-P 1'
loop_
_atom_site_label
_atom_site_fract_x
_atom_site_fract_y
_atom_site_fract_z
Ag1 0.000 0.000 0.000
H1 0.308 0.589 0.770
Cl1 0.070 0.746 0.724
Cl2 0.468 0.778 0.191
```

---

> Number 2 is which compound?

Ag2HCl6